No. 1
This record from Alexandria via LeMat-Bulk describes Ba2HfNpS6 after structural relaxation. The functional is PBE.

Summary:
SG ... No. 225
DFT total energy ... -6.854 eV/atom

Lattice parameters (Å, degrees): 7.237 7.237 10.233 90.00 90.00 90.00
Last column: magnetic moment on the atom in μB.
Element x y z (fractional)
Np (0.000, 0.750, 0.500)  3.16
S (0.255, 0.495, 0.500)  -0.05
Ba (0.500, 0.750, 0.250)  0.01
Ba (0.000, 0.250, 0.250)  0.01
S (0.000, 0.750, 0.755)  -0.05
Np (0.500, 0.250, 0.000)  3.16
Hf (0.000, 0.750, 0.000)  0.04
Ba (0.500, 0.750, 0.750)  0.01
S (0.245, 0.995, 0.000)  -0.05
S (0.745, 0.495, 0.500)  -0.05
S (0.255, 0.005, 0.500)  -0.05
S (0.500, 0.250, 0.745)  -0.05
S (0.755, 0.505, 0.000)  -0.05
Ba (0.000, 0.250, 0.750)  0.01
S (0.000, 0.750, 0.245)  -0.05
S (0.745, 0.005, 0.500)  -0.05
S (0.500, 0.250, 0.255)  -0.05
S (0.755, 0.995, 0.000)  -0.05
Hf (0.500, 0.250, 0.500)  0.04
S (0.245, 0.505, 0.000)  -0.05


No. 2
This record from Alexandria via LeMat-Bulk describes Ba2HfNpSe6 after structural relaxation. The functional is PBE.

Summary:
SG ... No. 59
DFT total energy ... -6.256 eV/atom

Lattice parameters (Å, degrees): 7.577 7.585 10.717 90.00 90.00 90.00
Last column: magnetic moment on the atom in μB.
Element x y z (fractional)
Np (0.000, 0.748, 0.500)  3.30
Se (0.754, 0.507, 0.000)  -0.06
Se (0.255, 0.004, 0.500)  -0.06
Se (0.746, 0.493, 0.500)  -0.06
Se (0.245, 0.996, 0.000)  -0.06
Ba (0.500, 0.756, 0.752)  0.00
Se (0.254, 0.493, 0.500)  -0.06
Se (0.000, 0.754, 0.245)  -0.06
Se (0.500, 0.246, 0.255)  -0.06
Se (0.246, 0.507, 0.000)  -0.06
Se (0.755, 0.996, 0.000)  -0.06
Se (0.000, 0.754, 0.755)  -0.06
Se (0.500, 0.246, 0.745)  -0.06
Se (0.745, 0.004, 0.500)  -0.06
Hf (0.500, 0.249, 0.500)  0.03
Np (0.500, 0.252, 0.000)  3.30
Ba (0.000, 0.244, 0.748)  0.00
Ba (0.000, 0.244, 0.252)  0.00
Ba (0.500, 0.756, 0.248)  0.00
Hf (0.000, 0.751, 0.000)  0.03


No. 3
This record from Alexandria via LeMat-Bulk describes BaHf2O after structural relaxation. The functional is PBE.

Summary:
SG ... No. 227
DFT total energy ... -7.542 eV/atom

Lattice parameters (Å, degrees): 6.794 6.794 6.794 60.00 60.00 90.00
Element x y z (fractional)
Ba (0.750, 0.250, 0.500)
Ba (0.000, 0.000, 0.000)
Hf (0.875, 0.625, 0.750)
O (0.500, 0.500, 0.000)
Hf (0.375, 0.125, 0.250)
Hf (0.375, 0.625, 0.250)
O (0.250, 0.750, 0.500)
Hf (0.375, 0.625, 0.750)


No. 4
This record from Alexandria via LeMat-Bulk describes BaHfO3 after structural relaxation. The functional is PBE.

Summary:
SG ... No. 64
DFT total energy ... -8.532 eV/atom

Lattice parameters (Å, degrees): 21.877 7.375 8.060 90.00 162.73 90.00
Element x y z (fractional)
O (0.223, 0.450, 0.724)
Ba (0.058, 0.250, 0.059)
O (0.854, 0.250, 0.854)
O (0.146, 0.750, 0.146)
Ba (0.442, 0.750, 0.441)
O (0.646, 0.750, 0.646)
O (0.058, 0.636, 0.558)
O (0.277, 0.950, 0.776)
O (0.777, 0.550, 0.276)
Ba (0.942, 0.750, 0.941)
O (0.723, 0.050, 0.224)
Hf (0.089, 0.366, 0.588)
O (0.942, 0.364, 0.442)
O (0.354, 0.250, 0.354)
Hf (0.589, 0.134, 0.088)
Hf (0.411, 0.866, 0.912)
O (0.442, 0.136, 0.942)
Ba (0.558, 0.250, 0.559)
Hf (0.911, 0.634, 0.412)
O (0.558, 0.864, 0.058)


No. 5
This record from Alexandria via LeMat-Bulk describes BaHfO3 after structural relaxation. The functional is PBE.

Summary:
SG ... No. 15
DFT total energy ... -8.567 eV/atom

Lattice parameters (Å, degrees): 13.112 7.868 7.868 94.81 131.75 48.25
Element x y z (fractional)
Ba (0.208, 0.391, 0.392)
Hf (0.250, 0.497, 0.997)
O (0.857, 0.391, 0.350)
O (0.567, 0.598, 0.547)
O (0.433, 0.402, 0.453)
Ba (0.792, 0.609, 0.608)
O (0.933, 0.047, 0.098)
O (0.143, 0.609, 0.650)
O (0.067, 0.953, 0.902)
Ba (0.292, 0.892, 0.891)
O (0.357, 0.150, 0.109)
O (0.551, 0.337, 0.251)
Hf (0.750, 0.503, 0.003)
Ba (0.708, 0.108, 0.109)
O (0.051, 0.249, 0.163)
O (0.949, 0.751, 0.837)
Hf (0.750, 0.172, 0.672)
Hf (0.250, 0.828, 0.328)
O (0.449, 0.663, 0.749)
O (0.643, 0.850, 0.891)


No. 6
This record from Alexandria via LeMat-Bulk describes BaHfO3 after structural relaxation. The functional is PBE.

Summary:
SG ... No. 194
DFT total energy ... -8.304 eV/atom

Lattice parameters (Å, degrees): 3.808 3.808 13.858 90.00 90.00 120.00
Element x y z (fractional)
Hf (0.333, 0.667, 0.750)
Ba (0.000, 0.000, 0.500)
Ba (0.000, 0.000, 0.000)
O (0.000, 0.000, 0.250)
O (0.333, 0.667, 0.607)
O (0.667, 0.333, 0.393)
O (0.000, 0.000, 0.750)
O (0.333, 0.667, 0.893)
O (0.667, 0.333, 0.107)
Hf (0.667, 0.333, 0.250)


No. 7
This record from Alexandria via LeMat-Bulk describes Ba2HfO after structural relaxation. The functional is PBE.

Summary:
SG ... No. 5
DFT total energy ... -5.716 eV/atom

Lattice parameters (Å, degrees): 9.879 5.766 9.649 90.00 91.01 90.00
Element x y z (fractional)
Ba (0.695, 0.994, 0.006)
Ba (0.305, 0.494, 0.494)
Ba (0.695, 0.494, 0.506)
Hf (0.484, 0.991, 0.664)
O (0.382, 0.765, 0.251)
Hf (0.516, 0.991, 0.336)
Ba (0.864, 0.487, 0.170)
Hf (0.484, 0.491, 0.164)
Ba (0.864, 0.987, 0.670)
O (0.618, 0.265, 0.249)
Ba (0.305, 0.994, 0.994)
O (0.382, 0.265, 0.751)
Hf (0.516, 0.491, 0.836)
Ba (0.136, 0.987, 0.330)
O (0.618, 0.765, 0.749)
Ba (0.136, 0.487, 0.830)


No. 8
This record from Alexandria via LeMat-Bulk describes Ba2HfO after structural relaxation. The functional is PBE.

Summary:
SG ... No. 67
DFT total energy ... -5.713 eV/atom

Lattice parameters (Å, degrees): 16.299 5.908 5.810 90.00 90.00 90.00
Element x y z (fractional)
Ba (0.139, 0.750, 0.247)
O (0.000, 0.500, 0.500)
Ba (0.139, 0.250, 0.753)
Ba (0.639, 0.750, 0.753)
O (0.500, 0.000, 0.500)
Ba (0.639, 0.250, 0.247)
Hf (0.000, 0.750, 0.739)
O (0.500, 0.500, 0.500)
Hf (0.500, 0.250, 0.739)
Hf (0.000, 0.250, 0.261)
Ba (0.861, 0.250, 0.753)
Ba (0.361, 0.250, 0.247)
Ba (0.361, 0.750, 0.753)
Ba (0.861, 0.750, 0.247)
O (0.000, 0.000, 0.500)
Hf (0.500, 0.750, 0.261)


No. 9
This record from Alexandria via LeMat-Bulk describes BaHfO3 after structural relaxation. The functional is PBE.

Summary:
SG ... No. 148
DFT total energy ... -8.598 eV/atom

Lattice parameters (Å, degrees): 6.657 6.657 6.657 51.31 51.31 51.31
Element x y z (fractional)
O (0.059, 0.657, 0.492)
Ba (0.872, 0.872, 0.872)
Hf (0.341, 0.341, 0.341)
O (0.657, 0.492, 0.059)
Hf (0.659, 0.659, 0.659)
O (0.492, 0.059, 0.657)
O (0.343, 0.508, 0.941)
O (0.941, 0.343, 0.508)
Ba (0.128, 0.128, 0.128)
O (0.508, 0.941, 0.343)


No. 10
This record from Alexandria via LeMat-Bulk describes BaHfO3 after structural relaxation. The functional is PBE.

Summary:
SG ... No. 15
DFT total energy ... -8.483 eV/atom

Lattice parameters (Å, degrees): 11.598 8.057 8.057 93.43 127.37 52.63
Element x y z (fractional)
Hf (0.257, 0.952, 0.877)
O (0.525, 0.830, 0.187)
O (0.837, 0.146, 0.064)
O (0.475, 0.170, 0.813)
O (0.975, 0.687, 0.330)
Hf (0.757, 0.623, 0.548)
O (0.337, 0.436, 0.354)
Ba (0.750, 0.541, 0.041)
Ba (0.250, 0.846, 0.346)
O (0.346, 0.786, 0.739)
Ba (0.250, 0.459, 0.959)
O (0.163, 0.854, 0.936)
Hf (0.743, 0.048, 0.123)
O (0.654, 0.214, 0.261)
Hf (0.243, 0.377, 0.452)
O (0.025, 0.313, 0.670)
O (0.663, 0.564, 0.646)
O (0.154, 0.239, 0.286)
O (0.846, 0.761, 0.714)
Ba (0.750, 0.154, 0.654)


No. 11
This record from Alexandria via LeMat-Bulk describes BaHfO3 after structural relaxation. The functional is PBE.

Summary:
SG ... No. 119
DFT total energy ... -7.254 eV/atom

Lattice parameters (Å, degrees): 3.787 3.787 12.427 81.24 81.24 90.00
Last column: magnetic moment on the atom in μB.
Element x y z (fractional)
O (0.674, 0.674, 0.652)  0.02
Hf (0.868, 0.368, 0.264)  0.20
O (0.147, 0.894, 0.211)  -0.03
O (0.106, 0.359, 0.789)  -0.01
O (0.326, 0.326, 0.348)  0.03
Ba (0.000, 0.000, 0.000)  0.21
O (0.641, 0.894, 0.211)  -0.03
Ba (0.250, 0.750, 0.500)  0.04
Hf (0.632, 0.132, 0.736)  0.24
O (0.106, 0.853, 0.789)  -0.01


No. 12
This record from Alexandria via LeMat-Bulk describes BaHf6O12 after structural relaxation. The functional is PBE.

Summary:
SG ... No. 166
DFT total energy ... -9.396 eV/atom

Lattice parameters (Å, degrees): 6.465 6.465 6.465 104.92 104.92 104.92
Last column: magnetic moment on the atom in μB.
Element x y z (fractional)
O (0.546, 0.815, 0.546)  0.00
O (0.873, 0.500, 0.127)  0.01
Hf (0.631, 0.239, 0.239)  0.09
Hf (0.239, 0.631, 0.239)  0.09
O (0.127, 0.500, 0.873)  0.01
O (0.454, 0.185, 0.454)  0.00
Hf (0.239, 0.239, 0.631)  0.09
O (0.185, 0.454, 0.454)  0.00
Hf (0.761, 0.369, 0.761)  0.09
Hf (0.761, 0.761, 0.369)  0.09
O (0.873, 0.127, 0.500)  0.01
O (0.454, 0.454, 0.185)  0.00
O (0.500, 0.127, 0.873)  0.01
O (0.500, 0.873, 0.127)  0.01
O (0.815, 0.546, 0.546)  0.00
Hf (0.369, 0.761, 0.761)  0.09
O (0.546, 0.546, 0.815)  0.00
Ba (0.000, 0.000, 0.000)  0.29
O (0.127, 0.873, 0.500)  0.01